Entry one
Density functional theory data (PBE) for a relaxed structure of Li4GeAu3.

Values from the calculation:
Its calculated volume is 121.97 Å³/cell. For the density, the calculation gives 9.4 g/cm3.

```
Li4GeAu3
1.0
3.2409 0.0000 0.0000
0.0000 3.2409 0.0000
0.0000 0.0000 11.6125
Li Ge Au
4 1 3
direct
0.0000 0.0000 0.1251 Li
0.0000 0.0000 0.3743 Li
0.0000 0.0000 0.6257 Li
0.0000 0.0000 0.8749 Li
0.5000 0.5000 0.5000 Ge
0.5000 0.5000 0.0000 Au
0.5000 0.5000 0.2529 Au
0.5000 0.5000 0.7471 Au
```

Entry two
Density functional theory data (PBE) for a relaxed structure of Li4GeAu3.

Values from the calculation:
Its calculated volume is 138.25 Å³/cell. For the density, the calculation gives 8.3 g/cm3.

```
Li4GeAu3
1.0
10.8497 -1.5905 0.0000
10.8497 1.5905 0.0000
-0.7423 0.0000 4.0058
Li Ge Au
4 1 3
direct
0.1016 0.1016 0.1012 Li
0.2193 0.2193 0.2203 Li
0.7807 0.7807 0.7797 Li
0.8984 0.8984 0.8988 Li
0.0000 0.0000 0.5000 Ge
0.3429 0.3429 0.3438 Au
0.5000 0.5000 0.0000 Au
0.6571 0.6571 0.6562 Au
```

Least stable = entry two

Entry one
Density functional theory data (PBE) for a relaxed structure of LiGe2Au2.

Values from the calculation:
Its calculated volume is 191.12 Å³/cell. For the density, the calculation gives 9.5 g/cm3.

```
LiGe2Au2
1.0
7.2975 0.0000 0.0000
0.0000 7.2975 0.0000
0.0000 0.0000 3.5889
Li Ge Au
2 4 4
direct
0.0000 0.0000 0.0000 Li
0.5000 0.5000 0.0000 Li
0.1598 0.3402 0.5000 Ge
0.3402 0.8402 0.5000 Ge
0.6597 0.1598 0.5000 Ge
0.8402 0.6597 0.5000 Ge
0.1468 0.6468 0.0000 Au
0.3532 0.1468 0.0000 Au
0.6468 0.8532 0.0000 Au
0.8532 0.3532 0.0000 Au
```

Entry two
Density functional theory data (PBE) for a relaxed structure of LiGe2Au2.

Values from the calculation:
Its calculated volume is 98.50 Å³/cell. For the density, the calculation gives 9.2 g/cm3.

```
LiGe2Au2
1.0
-1.9157 1.9157 6.7104
1.9157 -1.9157 6.7104
1.9157 1.9157 -6.7104
Li Ge Au
1 2 2
direct
0.0000 0.0000 0.0000 Li
0.2500 0.7500 0.5000 Ge
0.7500 0.2500 0.5000 Ge
0.4017 0.4017 0.0000 Au
0.5983 0.5983 0.0000 Au
```

Least stable = entry two

Entry one
Density functional theory data (PBE) for a relaxed structure of LiGe2Au2.

Values from the calculation:
Its calculated volume is 191.16 Å³/cell. For the density, the calculation gives 9.5 g/cm3.

```
LiGe2Au2
1.0
7.5839 0.0000 0.0000
0.0000 7.5839 0.0000
0.0000 0.0000 3.3236
Li Ge Au
2 4 4
direct
0.0000 0.0000 0.0000 Li
0.5000 0.5000 0.0000 Li
0.1362 0.3638 0.0000 Ge
0.3638 0.8638 0.0000 Ge
0.6362 0.1362 0.0000 Ge
0.8638 0.6362 0.0000 Ge
0.1672 0.6672 0.5000 Au
0.3328 0.1672 0.5000 Au
0.6672 0.8328 0.5000 Au
0.8328 0.3328 0.5000 Au
```

Entry two
Density functional theory data (PBE) for a relaxed structure of LiGe2Au2.

Values from the calculation:
Its calculated volume is 103.61 Å³/cell. For the density, the calculation gives 8.8 g/cm3.

```
LiGe2Au2
1.0
-2.2588 2.2588 5.0769
2.2588 -2.2588 5.0769
2.2588 2.2588 -5.0769
Li Ge Au
1 2 2
direct
0.0000 0.0000 0.0000 Li
0.3790 0.3790 0.0000 Ge
0.6210 0.6210 0.0000 Ge
0.2500 0.7500 0.5000 Au
0.7500 0.2500 0.5000 Au
```

Least stable = entry one

Entry one
Density functional theory data (PBE) for a relaxed structure of Li2GeAu4.

Values from the calculation:
Its calculated volume is 161.77 Å³/cell. For the density, the calculation gives 9.0 g/cm3.

```
Li2GeAu4
1.0
-2.4248 2.4248 6.8784
2.4248 -2.4248 6.8784
2.4248 2.4248 -6.8784
Li Ge Au
2 1 4
direct
0.1219 0.1219 0.0000 Li
0.8781 0.8781 0.0000 Li
0.5000 0.5000 0.0000 Ge
0.0000 0.5000 0.5000 Au
0.3116 0.3116 0.0000 Au
0.5000 0.0000 0.5000 Au
0.6884 0.6884 0.0000 Au
```

Entry two
Density functional theory data (PBE) for a relaxed structure of Li2GeAu4.

Values from the calculation:
Its calculated volume is 124.52 Å³/cell. For the density, the calculation gives 11.7 g/cm3.

```
Li2GeAu4
1.0
-2.8879 2.8879 3.7327
2.8879 -2.8879 3.7327
2.8879 2.8879 -3.7327
Li Ge Au
2 1 4
direct
0.0000 0.5000 0.5000 Li
0.5000 0.0000 0.5000 Li
0.0000 0.0000 0.0000 Ge
0.0000 0.0000 0.5000 Au
0.0000 0.5000 0.0000 Au
0.5000 0.0000 0.0000 Au
0.5000 0.5000 0.5000 Au
```

Least stable = entry one

Entry one
Density functional theory data (PBE) for a relaxed structure of LiZnGeAu.

Values from the calculation:
Its calculated volume is 64.22 Å³/cell. For the density, the calculation gives 8.8 g/cm3.

```
LiZnGeAu
1.0
2.3209 -2.4046 0.0000
2.3209 2.4046 0.0000
0.0000 0.0000 5.7540
Li Zn Ge Au
1 1 1 1
direct
0.0000 0.0000 0.0000 Li
0.0000 0.0000 0.4949 Zn
0.5000 0.5000 0.7498 Ge
0.5000 0.5000 0.2380 Au
```

Entry two
Density functional theory data (PBE) for a relaxed structure of LiZnGeAu.

Values from the calculation:
Its calculated volume is 64.81 Å³/cell. For the density, the calculation gives 8.8 g/cm3.

```
LiZnGeAu
1.0
0.0000 3.1881 3.1881
3.1881 0.0000 3.1881
3.1881 3.1881 0.0000
Li Zn Ge Au
1 1 1 1
direct
0.0000 0.0000 0.0000 Li
0.2500 0.2500 0.2500 Zn
0.7500 0.7500 0.7500 Ge
0.5000 0.5000 0.5000 Au
```

Least stable = entry one

Entry one
Density functional theory data (PBE) for a relaxed structure of MgGeAu6.

Values from the calculation:
Its calculated volume is 145.77 Å³/cell. For the density, the calculation gives 14.6 g/cm3.

```
MgGeAu6
1.0
0.0000 3.8575 5.9335
3.1844 0.0000 5.9335
3.1844 3.8575 0.0000
Mg Ge Au
1 1 6
direct
0.0000 0.0000 0.0000 Mg
0.5000 0.5000 0.5000 Ge
0.1224 0.1224 0.3776 Au
0.2459 0.2459 0.7541 Au
0.3776 0.3776 0.1224 Au
0.6224 0.6224 0.8776 Au
0.7541 0.7541 0.2459 Au
0.8776 0.8776 0.6224 Au
```

Entry two
Density functional theory data (PBE) for a relaxed structure of MgGeAu6.

Values from the calculation:
Its calculated volume is 145.24 Å³/cell. For the density, the calculation gives 14.6 g/cm3.

```
MgGeAu6
1.0
4.1225 0.0000 0.0000
0.0000 4.1225 0.0000
0.0000 0.0000 8.5462
Mg Ge Au
1 1 6
direct
0.0000 0.0000 0.0000 Mg
0.0000 0.0000 0.5000 Ge
0.0000 0.5000 0.2448 Au
0.0000 0.5000 0.7552 Au
0.5000 0.0000 0.2448 Au
0.5000 0.0000 0.7552 Au
0.5000 0.5000 0.0000 Au
0.5000 0.5000 0.5000 Au
```

Least stable = entry two

Entry one
Density functional theory data (PBE) for a relaxed structure of MgGeAu3.

Values from the calculation:
Its calculated volume is 118.44 Å³/cell. For the density, the calculation gives 9.6 g/cm3.

```
MgGeAu3
1.0
4.9110 0.0000 0.0000
0.0000 4.9110 0.0000
0.0000 0.0000 4.9110
Mg Ge Au
1 1 3
direct
0.0000 0.0000 0.0000 Mg
0.5000 0.5000 0.5000 Ge
0.0000 0.0000 0.5000 Au
0.0000 0.5000 0.0000 Au
0.5000 0.0000 0.0000 Au
```

Entry two
Density functional theory data (PBE) for a relaxed structure of MgGeAu3.

Values from the calculation:
Its calculated volume is 116.71 Å³/cell. For the density, the calculation gives 9.8 g/cm3.

```
MgGeAu3
1.0
4.8870 0.0000 0.0000
0.0000 4.8870 0.0000
0.0000 0.0000 4.8870
Mg Ge Au
1 1 3
direct
0.0000 0.0000 0.0000 Mg
0.5000 0.5000 0.5000 Ge
0.0000 0.5000 0.5000 Au
0.5000 0.0000 0.5000 Au
0.5000 0.5000 0.0000 Au
```

Entry three
Density functional theory data (PBE) for a relaxed structure of MgGeAu3.

Values from the calculation:
Its calculated volume is 183.62 Å³/cell. For the density, the calculation gives 12.4 g/cm3.

```
MgGeAu3
1.0
5.0467 0.0000 0.0000
0.2446 5.0580 0.0000
0.3402 2.4003 7.1933
Mg Ge Au
2 2 6
direct
0.0000 0.0000 0.0000 Mg
0.4617 0.6715 0.5903 Mg
0.4594 0.4414 0.0123 Ge
0.9959 0.2303 0.5778 Ge
0.4806 0.2581 0.4028 Au
0.4905 0.8568 0.1900 Au
0.5083 0.0732 0.7939 Au
0.9514 0.5991 0.7961 Au
0.9710 0.8153 0.4001 Au
0.9741 0.4139 0.1873 Au
```

Least stable = entry one

Entry one
Density functional theory data (PBE) for a relaxed structure of MnGeAu3.

Values from the calculation:
Its calculated volume is 110.57 Å³/cell. For the density, the calculation gives 10.8 g/cm3.

```
MnGeAu3
1.0
4.7997 0.0000 0.0000
0.0000 4.7997 0.0000
0.0000 0.0000 4.7997
Mn Ge Au
1 1 3
direct
0.0000 0.0000 0.0000 Mn
0.5000 0.5000 0.5000 Ge
0.0000 0.0000 0.5000 Au
0.0000 0.5000 0.0000 Au
0.5000 0.0000 0.0000 Au
```

Entry two
Density functional theory data (PBE) for a relaxed structure of MnGeAu3.

Values from the calculation:
Its calculated volume is 114.36 Å³/cell. For the density, the calculation gives 10.4 g/cm3.

```
MnGeAu3
1.0
4.8539 0.0000 0.0000
0.0000 4.8539 0.0000
0.0000 0.0000 4.8539
Mn Ge Au
1 1 3
direct
0.0000 0.0000 0.0000 Mn
0.5000 0.5000 0.5000 Ge
0.0000 0.5000 0.5000 Au
0.5000 0.0000 0.5000 Au
0.5000 0.5000 0.0000 Au
```

Least stable = entry one

Entry one
Density functional theory data (PBE) for a relaxed structure of Ge2Mo2Au.

Values from the calculation:
Its calculated volume is 168.29 Å³/cell. For the density, the calculation gives 10.5 g/cm3.

```
Ge2Mo2Au
1.0
7.1866 0.0000 0.0000
0.0000 7.1866 0.0000
0.0000 0.0000 3.2584
Ge Mo Au
4 4 2
direct
0.1641 0.3359 0.0000 Ge
0.3359 0.8359 0.0000 Ge
0.6641 0.1641 0.0000 Ge
0.8359 0.6641 0.0000 Ge
0.1297 0.6297 0.5000 Mo
0.3703 0.1297 0.5000 Mo
0.6297 0.8703 0.5000 Mo
0.8703 0.3703 0.5000 Mo
0.0000 0.0000 0.5000 Au
0.5000 0.5000 0.5000 Au
```

Entry two
Density functional theory data (PBE) for a relaxed structure of Ge2Mo2Au.

Values from the calculation:
Its calculated volume is 163.62 Å³/cell. For the density, the calculation gives 10.8 g/cm3.

```
Ge2Mo2Au
1.0
7.1108 0.0000 0.0000
0.0000 7.1108 0.0000
0.0000 0.0000 3.2360
Ge Mo Au
4 4 2
direct
0.1466 0.3534 0.0000 Ge
0.3534 0.8534 0.0000 Ge
0.6466 0.1466 0.0000 Ge
0.8534 0.6466 0.0000 Ge
0.1448 0.6448 0.5000 Mo
0.3552 0.1448 0.5000 Mo
0.6448 0.8552 0.5000 Mo
0.8552 0.3552 0.5000 Mo
0.0000 0.0000 0.0000 Au
0.5000 0.5000 0.0000 Au
```

Least stable = entry two

Entry one
Density functional theory data (PBE) for a relaxed structure of GeMoAu3.

Values from the calculation:
Its calculated volume is 128.31 Å³/cell. For the density, the calculation gives 9.8 g/cm3.

```
GeMoAu3
1.0
5.0438 0.0000 0.0000
0.0000 5.0438 0.0000
0.0000 0.0000 5.0438
Ge Mo Au
1 1 3
direct
0.0000 0.0000 0.0000 Ge
0.5000 0.5000 0.5000 Mo
0.0000 0.5000 0.5000 Au
0.5000 0.0000 0.5000 Au
0.5000 0.5000 0.0000 Au
```

Entry two
Density functional theory data (PBE) for a relaxed structure of GeMoAu3.

Values from the calculation:
Its calculated volume is 114.03 Å³/cell. For the density, the calculation gives 11.1 g/cm3.

```
GeMoAu3
1.0
4.8492 0.0000 0.0000
0.0000 4.8492 0.0000
0.0000 0.0000 4.8492
Ge Mo Au
1 1 3
direct
0.0000 0.0000 0.0000 Ge
0.5000 0.5000 0.5000 Mo
0.0000 0.0000 0.5000 Au
0.0000 0.5000 0.0000 Au
0.5000 0.0000 0.0000 Au
```

Least stable = entry one

Entry one
Density functional theory data (PBE) for a relaxed structure of GeAuN.

Values from the calculation:
Its calculated volume is 47.11 Å³/cell. For the density, the calculation gives 10.0 g/cm3.

```
GeAuN
1.0
6.1916 -1.3851 0.0000
6.1916 1.3851 0.0000
-0.6343 0.0000 2.7468
Ge Au N
1 1 1
direct
0.0000 0.0000 0.0000 Ge
0.7029 0.7029 0.2008 Au
0.4579 0.4579 0.4582 N
```

Entry two
Density functional theory data (PBE) for a relaxed structure of GeAuN.

Values from the calculation:
Its calculated volume is 165.62 Å³/cell. For the density, the calculation gives 5.7 g/cm3.

```
GeAuN
1.0
2.6898 -2.6150 0.0000
2.6898 2.6150 0.0000
-2.1743 0.0000 11.7733
Ge Au N
2 2 2
direct
0.2062 0.2062 0.3911 Ge
0.7938 0.7938 0.6089 Ge
0.2986 0.2986 0.6202 Au
0.7014 0.7014 0.3798 Au
0.0504 0.0504 0.9633 N
0.9496 0.9496 0.0367 N
```

Least stable = entry one

Entry one
Density functional theory data (PBE) for a relaxed structure of GeAuSN2.

Values from the calculation:
Its calculated volume is 100.66 Å³/cell. For the density, the calculation gives 5.4 g/cm3.

```
GeAuSN2
1.0
3.8163 0.0000 0.0000
0.0000 3.8163 0.0000
0.0000 0.0000 6.9114
Ge Au S N
1 1 1 2
direct
0.0000 0.0000 0.0000 Ge
0.0000 0.0000 0.5000 Au
0.5000 0.5000 0.0000 S
0.0000 0.5000 0.5000 N
0.5000 0.0000 0.5000 N
```

Entry two
Density functional theory data (PBE) for a relaxed structure of GeAuSN2.

Values from the calculation:
Its calculated volume is 86.83 Å³/cell. For the density, the calculation gives 6.3 g/cm3.

```
GeAuSN2
1.0
4.0525 0.0000 0.0000
0.0000 4.0525 0.0000
0.0000 0.0000 5.2871
Ge Au S N
1 1 1 2
direct
0.0000 0.0000 0.0000 Ge
0.5000 0.5000 0.5000 Au
0.5000 0.5000 0.0000 S
0.0000 0.5000 0.5000 N
0.5000 0.0000 0.5000 N
```

Least stable = entry one